Entry 1:
Material: La2CuIrPd
Method: DFT, GGA-PBEsol
State: relaxed

ΔE_f = 255 meV/atom
N(E_F) = 2.685 states/eV/cell

Cell lengths 5.341, 5.341, 4.473 Å; angles 90.00, 90.00, 90.00 degrees
Space group P4/mmm (No. 123)
Symmetry-distinct sites (fractional):
La 0.000 0.500 0.000 x2
Cu 0.000 0.000 0.500 x1
Ir 0.500 0.500 0.500 x1
Pd 0.000 0.000 0.000 x1

---

Entry 2:
Material: Li2CuIr
Method: DFT, GGA-PBEsol
State: relaxed

offset from the most stable computed form = 184 kJ/mol of formula units
ΔE_f = 398 meV/atom
N(E_F) = 17.912 states/eV/cell

Cell lengths 6.449, 6.449, 4.898 Å; angles 90.00, 90.00, 90.00 degrees
Space group I-42d (No. 122)
Symmetry-distinct sites (fractional):
Li 0.235 0.750 0.125 x8
Cu 0.000 0.000 0.000 x4
Ir 0.000 0.000 0.500 x4

---

Entry 3:
Material: Li2CuIr
Method: DFT, GGA-PBEsol
State: relaxed

offset from the most stable computed form = 7 kJ/mol of formula units
ΔE_f = -61 meV/atom
N(E_F) = 2.124 states/eV/cell

Cell lengths 2.515, 4.332, 4.630 Å; angles 90.00, 93.26, 90.00 degrees
Space group P2/m (No. 10)
Symmetry-distinct sites (fractional):
Li 0.204 0.000 0.239 x2
Cu 0.000 0.500 0.500 x1
Ir 0.500 0.500 0.000 x1